A geometry-optimized Ca2Mg3Hg2 structure, computed with PBE.

POSCAR file:
```
Ca2Mg3Hg2
1.0
-4.023 -0.412 -2.147
4.361 -3.259 -2.665
-2.193 -4.950 5.059
Hg Ca Mg
2 2 3
direct
0.900 0.801 0.335
0.100 0.199 0.665
0.379 0.757 0.649
0.621 0.243 0.351
0.000 0.000 0.000
0.308 0.617 0.125
0.692 0.383 0.875
```

## Properties
formation energy from the elements	-2.0	eV per formula unit
space group	C2/m
energy	-1.63	eV/atom
excess energy over the best structure of this formula in the dataset	0.041	eV/atom
DOS at the Fermi energy	0.574	states/eV per atom